i:
This record from Alexandria via LeMat-Bulk describes a relaxed structure of FeCu3Pd4. The functional is GGA-PBE.

a = 17.634 Å, b = 2.754 Å, c = 4.777 Å
α = 90.00°, β = 105.25°, γ = 90.00°
Fractional coordinates of all 16 atoms:
Fe  0.000  0.000  0.000
Fe  0.500  0.500  0.000
Cu  0.000  0.500  0.500
Cu  0.250  0.000  0.249
Cu  0.250  0.500  0.751
Cu  0.500  0.000  0.500
Cu  0.750  0.000  0.751
Cu  0.750  0.500  0.249
Pd  0.124  0.000  0.793
Pd  0.124  0.500  0.293
Pd  0.376  0.000  0.707
Pd  0.376  0.500  0.207
Pd  0.624  0.000  0.293
Pd  0.624  0.500  0.793
Pd  0.876  0.000  0.207
Pd  0.876  0.500  0.707

Properties
Crystal system: monoclinic
SG: C2/m, No. 12



ii:
This record from Alexandria via LeMat-Bulk describes a relaxed structure of FeCu3Pd4. The functional is GGA-PBE.

a = 8.418 Å, b = 6.244 Å, c = 4.210 Å
α = 90.00°, β = 90.00°, γ = 90.00°
Fractional coordinates of all 16 atoms:
Fe  0.000  0.000  0.000
Fe  0.500  0.000  0.000
Cu  0.000  0.500  0.000
Cu  0.250  0.000  0.499
Cu  0.250  0.500  0.499
Cu  0.500  0.500  0.000
Cu  0.750  0.000  0.501
Cu  0.750  0.500  0.501
Pd  0.000  0.249  0.500
Pd  0.000  0.751  0.500
Pd  0.250  0.250  0.999
Pd  0.250  0.750  0.999
Pd  0.500  0.249  0.500
Pd  0.500  0.751  0.500
Pd  0.750  0.250  0.001
Pd  0.750  0.750  0.001

Properties
Crystal system: orthorhombic
SG: Pmma, No. 51



ii comes first in stability; the runner-up is 6.9 kJ/mol of atoms higher.